## CsTl2Ni2 (GGA-PBE)

Data for a geometry-optimized CsTl2Ni2 structure.

Lattice parameters (Å, degrees): 6.4114 6.4114 6.4114 135.29 135.29 65.09
With the nearest neighbours (Å) after each atom.
Fractional coordinates of all 5 atoms:
Ni (0.6120, 0.6120, 0.0000)  1 Ni 2.42
Ni (0.3880, 0.3880, 0.0000)  1 Ni 2.42
Tl (0.2500, 0.7500, 0.5000)  4 Ni 2.86
Tl (0.7500, 0.2500, 0.5000)  4 Ni 2.86
Cs (0.0000, 0.0000, 0.0000)  8 Tl 3.64, 8 Ni 3.66

Properties
As for the space group: I4/mmm (139). The value obtained for the density of states at the Fermi level is 3.96 states/eV per cell. As for the energy above the lowest structure with this stoichiometry: 42 kJ/mol of formula units. The magnetic moment comes out at 0.000 μB per atom. As for the formation energy from the elements: 384 meV/atom. As for the total energy: -3.046 eV/atom. Its calculated volume is 128.58 Å³/cell.